# 1
CeHoPSe (GGA-PBE, optimized geometry); total DFT energy (no corrections) = -0.4839 Ry per atom; E_form (uncorrected) = -1732 meV per atom; symmetry = R3m (160); spin magnetization = 0.92 μB per formula unit
1.0
2.034 1.174 6.777
-2.034 1.174 6.777
0.000 -2.348 6.777
Ce Ho P Se
1 1 1 1
Cartesian
0.000 0.000 0.000 Ce
0.000 0.000 9.916 Ho
0.000 0.000 15.194 P
0.000 0.000 4.893 Se



# 2
Ac3Ga4Ni2 (GGA-PBE, optimized geometry); total DFT energy (no corrections) = -0.3297 Ry per atom; calculated formation energy = -4.4 eV/f.u.; energy above the lowest structure with this stoichiometry = 0.0149 eV/atom; symmetry = C2/m (12); spin magnetization = 0.00 μB per formula unit
1.0
5.596 -2.196 0.000
5.596 2.196 0.000
-2.760 0.000 8.728
Ac Ga Ni
3 4 2
Cartesian
0.000 0.000 0.000 Ac
3.611 0.000 2.694 Ac
4.822 0.000 6.034 Ac
0.483 0.000 3.734 Ga
0.497 0.000 8.092 Ga
7.936 0.000 0.636 Ga
7.950 0.000 4.995 Ga
1.744 0.000 5.973 Ni
6.689 0.000 2.755 Ni